No. 1
Entry from the Alexandria database: an optimized crystal structure of Sc4Bi3Pb (GGA-PBE).

Energy of formation from the pure elements ... -52.64 kJ/mol of atoms

```
data_Sc4Bi3Pb
_symmetry_space_group_name_H-M 'P 1 2/c 1'
_symmetry_Int_Tables_number 13
_symmetry_space_group_name_Hall '-P 2yc'
_cell_length_a 7.442
_cell_length_b 8.540
_cell_length_c 7.291
_cell_angle_alpha 90.00
_cell_angle_beta 109.54
_cell_angle_gamma 90.00
loop_
_atom_site_label
_atom_site_type_symbol
_atom_site_fract_x
_atom_site_fract_y
_atom_site_fract_z
Sc1 Sc 0.248 0.126 0.498
Sc2 Sc 0.250 0.375 0.001
Bi1 Bi 0.000 0.126 0.750
Bi2 Bi 0.500 0.124 0.250
Bi3 Bi 0.500 0.375 0.750
Pb1 Pb 0.000 0.378 0.250
```

No. 2
Entry from the Alexandria database: an optimized crystal structure of CrReI3 (GGA-PBE).

Excess energy over the best structure of this formula in the dataset ... 109.0 meV/atom
Formation energy from raw total energies ... 1.13 eV per atom

```
data_CrReI3
_symmetry_space_group_name_H-M 'P m -3 m'
_symmetry_Int_Tables_number 221
_symmetry_space_group_name_Hall '-P 4 2 3'
_cell_length_a 5.607
_cell_length_b 5.607
_cell_length_c 5.607
_cell_angle_alpha 90.00
_cell_angle_beta 90.00
_cell_angle_gamma 90.00
loop_
_atom_site_label
_atom_site_type_symbol
_atom_site_fract_x
_atom_site_fract_y
_atom_site_fract_z
Cr1 Cr 0.000 0.000 0.000
Re1 Re 0.500 0.500 0.500
I1 I 0.000 0.000 0.500
```

No. 3
Entry from the Alexandria database: an optimized crystal structure of CuMoP3 (GGA-PBE).

Energy of formation from the pure elements ... 110.82 kJ/mol of atoms
Excess energy over the best structure of this formula in the dataset ... 405.1 meV/atom

```
data_CuMoP3
_symmetry_space_group_name_H-M 'P m -3 m'
_symmetry_Int_Tables_number 221
_symmetry_space_group_name_Hall '-P 4 2 3'
_cell_length_a 4.371
_cell_length_b 4.371
_cell_length_c 4.371
_cell_angle_alpha 90.00
_cell_angle_beta 90.00
_cell_angle_gamma 90.00
loop_
_atom_site_label
_atom_site_type_symbol
_atom_site_fract_x
_atom_site_fract_y
_atom_site_fract_z
Cu1 Cu 0.000 0.000 0.000
Mo1 Mo 0.500 0.500 0.500
P1 P 0.000 0.000 0.500
```

No. 4
Entry from the Alexandria database: an optimized crystal structure of CaY5Au6 (GGA-PBE).

Energy of formation from the pure elements ... -82.33 kJ/mol of atoms

```
data_CaY5Au6
_symmetry_space_group_name_H-M 'C m m m'
_symmetry_Int_Tables_number 65
_symmetry_space_group_name_Hall '-C 2 2'
_cell_length_a 5.094
_cell_length_b 15.374
_cell_length_c 7.212
_cell_angle_alpha 90.00
_cell_angle_beta 90.00
_cell_angle_gamma 90.00
loop_
_atom_site_label
_atom_site_type_symbol
_atom_site_fract_x
_atom_site_fract_y
_atom_site_fract_z
Ca1 Ca 0.000 0.000 0.000
Y1 Y 0.000 0.000 0.500
Y2 Y 0.000 0.334 0.500
Y3 Y 0.000 0.335 0.000
Au1 Au 0.000 0.171 0.253
Au2 Au 0.000 0.500 0.260
```

Number 1: Fermi-level density of states 7.72 states/eV per cell, M_tot 0.000 μB per atom. Number 2: Fermi-level density of states 0.94 states/eV per cell, M_tot 1.997 μB per atom. Number 3: Fermi-level density of states 4.16 states/eV per cell, M_tot 0.000 μB per atom. Number 4: Fermi-level density of states 12.38 states/eV per cell, M_tot 0.000 μB per atom.